Entry from Alexandria: a relaxed structure of PrSm8Y4 (PBE).

Results
The crystal system is trigonal. The value obtained for the calculated formation energy is 0.18 eV/atom. The calculation puts the density of states at the Fermi level at 15.26 states/eV/f.u. The calculation puts the size of the total moment at 0.0 μB/cell.

a b c (Å): 10.227 10.227 10.227
angles (deg): 42.45 42.45 42.45
Positions (direct):
Pr 0.000 0.000 0.000
Sm 0.251 0.251 0.697
Sm 0.251 0.697 0.251
Sm 0.283 0.283 0.283
Sm 0.303 0.749 0.749
Sm 0.697 0.251 0.251
Sm 0.717 0.717 0.717
Sm 0.749 0.303 0.749
Sm 0.749 0.749 0.303
Y 0.000 0.000 0.500
Y 0.000 0.500 0.000
Y 0.500 0.000 0.000
Y 0.500 0.500 0.500


Entry from Alexandria: a relaxed structure of KSe2Br2 (PBE).

Results
The crystal system is monoclinic. As for the total energy: -29.0 eV/cell. The calculation puts the density of states at the Fermi level at 0.69 states/eV/f.u. The calculation puts the size of the total moment at 0.0 μB/cell.

a b c (Å): 6.605 6.605 8.550
angles (deg): 100.26 100.26 92.68
Positions (direct):
K 0.163 0.837 0.750
K 0.837 0.163 0.250
Se 0.383 0.454 0.069
Se 0.454 0.383 0.569
Se 0.546 0.617 0.431
Se 0.617 0.546 0.931
Br 0.080 0.300 0.652
Br 0.300 0.080 0.152
Br 0.700 0.920 0.848
Br 0.920 0.700 0.348


Entry from Alexandria: a relaxed structure of Ce2Ni7 (PBE).

Results
The crystal system is trigonal. The value obtained for the calculated formation energy is -0.38 eV/atom. The calculation puts the density of states at the Fermi level at 11.69 states/eV/f.u. The calculation puts the size of the total moment at 0.0 μB/cell.

a b c (Å): 12.594 12.594 12.594
angles (deg): 22.52 22.52 22.52
Positions (direct):
Ce 0.050 0.050 0.050
Ce 0.146 0.146 0.146
Ce 0.854 0.854 0.854
Ce 0.950 0.950 0.950
Ni 0.000 0.500 0.500
Ni 0.110 0.610 0.610
Ni 0.278 0.278 0.278
Ni 0.388 0.388 0.388
Ni 0.390 0.390 0.890
Ni 0.390 0.890 0.390
Ni 0.500 0.000 0.500
Ni 0.500 0.500 0.000
Ni 0.500 0.500 0.500
Ni 0.610 0.110 0.610
Ni 0.610 0.610 0.110
Ni 0.612 0.612 0.612
Ni 0.722 0.722 0.722
Ni 0.890 0.390 0.390


Entry from Alexandria: a relaxed structure of K2AlPt (PBE).

Results
The crystal system is trigonal. The value obtained for the calculated formation energy is 0.43 eV/atom. The calculation puts the density of states at the Fermi level at 3.47 states/eV/f.u. The calculation puts the size of the total moment at 0.2 μB/cell.

a b c (Å): 11.443 11.443 11.443
angles (deg): 15.99 15.99 15.99
Positions (direct):
K 0.243 0.243 0.243
K 0.757 0.757 0.757
Al 0.000 0.000 0.000
Pt 0.500 0.500 0.500


size of the total moment of number 1 (PrSm8Y4)? 0.0 μB/cell